(A)
A relaxed NiSbAsI2 crystal. Source: Alexandria, functional GGA-PBE.

Cell: 5.150 5.150 5.056 Å, 90.00 90.00 90.00°
Element x y z (fractional)
Ni  0.000  0.000  0.000
Sb  0.000  0.000  0.500
As  0.500  0.500  0.500
I  0.000  0.500  0.000
I  0.500  0.000  0.000

Output
- spin magnetization (μB/f.u.) = 0.00
- crystal system = tetragonal

(B)
A relaxed NiSbAsI2 crystal. Source: Alexandria, functional GGA-PBE.

Cell: 5.577 5.577 5.559 Å, 90.00 90.00 90.00°
Element x y z (fractional)
Ni  0.000  0.000  0.000
Sb  0.500  0.500  0.000
As  0.500  0.500  0.500
I  0.000  0.500  0.500
I  0.500  0.000  0.500

Output
- spin magnetization (μB/f.u.) = 1.14
- crystal system = tetragonal

Stability order, top to bottom: (A), (B)

(A)
A relaxed NiSb2AsI crystal. Source: Alexandria, functional GGA-PBE.

Cell: 5.399 5.399 5.471 Å, 90.00 90.00 90.00°
Element x y z (fractional)
Ni  0.000  0.000  0.000
Sb  0.000  0.500  0.500
Sb  0.500  0.000  0.500
As  0.500  0.500  0.500
I  0.500  0.500  0.000

Output
- spin magnetization (μB/f.u.) = 0.74
- crystal system = tetragonal

(B)
A relaxed NiSb2AsI crystal. Source: Alexandria, functional GGA-PBE.

Cell: 5.018 5.018 5.095 Å, 90.00 90.00 90.00°
Element x y z (fractional)
Ni  0.000  0.000  0.000
Sb  0.000  0.500  0.000
Sb  0.500  0.000  0.000
As  0.500  0.500  0.500
I  0.000  0.000  0.500

Output
- spin magnetization (μB/f.u.) = 0.00
- crystal system = tetragonal

Stability order, top to bottom: (B), (A)

(A)
A relaxed NiTeAsI2 crystal. Source: Alexandria, functional GGA-PBE.

Cell: 5.131 5.131 5.156 Å, 90.00 90.00 90.00°
Element x y z (fractional)
Ni  0.000  0.000  0.000
Te  0.000  0.000  0.500
As  0.500  0.500  0.500
I  0.000  0.500  0.000
I  0.500  0.000  0.000

Output
- spin magnetization (μB/f.u.) = 0.00
- crystal system = tetragonal

(B)
A relaxed NiTeAsI2 crystal. Source: Alexandria, functional GGA-PBE.

Cell: 5.579 5.579 5.627 Å, 90.00 90.00 90.00°
Element x y z (fractional)
Ni  0.000  0.000  0.000
Te  0.500  0.500  0.000
As  0.500  0.500  0.500
I  0.000  0.500  0.500
I  0.500  0.000  0.500

Output
- spin magnetization (μB/f.u.) = 1.51
- crystal system = tetragonal

Stability order, top to bottom: (A), (B)

(A)
A relaxed AsI2O2 crystal. Source: Alexandria, functional GGA-PBE.

Cell: 4.910 4.910 3.949 Å, 90.00 90.00 90.00°
Element x y z (fractional)
As  0.000  0.000  0.000
I  0.000  0.500  0.500
I  0.500  0.000  0.500
O  0.500  0.500  0.000
O  0.500  0.500  0.500

Output
- spin magnetization (μB/f.u.) = 0.22
- crystal system = tetragonal

(B)
A relaxed AsI2O2 crystal. Source: Alexandria, functional GGA-PBE.

Cell: 4.128 4.128 6.585 Å, 90.00 90.00 90.00°
Element x y z (fractional)
As  0.000  0.000  0.000
I  0.000  0.000  0.500
I  0.500  0.500  0.500
O  0.000  0.500  0.000
O  0.500  0.000  0.000

Output
- spin magnetization (μB/f.u.) = 0.00
- crystal system = tetragonal

(C)
A relaxed AsI2O2 crystal. Source: Alexandria, functional GGA-PBE.

Cell: 4.075 4.075 8.497 Å, 90.00 90.00 90.00°
Element x y z (fractional)
As  0.000  0.000  0.000
I  0.500  0.500  0.000
I  0.500  0.500  0.500
O  0.000  0.500  0.500
O  0.500  0.000  0.500

Output
- spin magnetization (μB/f.u.) = 0.28
- crystal system = tetragonal

Stability order, top to bottom: (B), (C), (A)

(A)
A relaxed As2IO crystal. Source: Alexandria, functional GGA-PBE.

Cell: 4.744 4.744 4.744 Å, 60.00 60.00 60.00°
Element x y z (fractional)
As  0.250  0.250  0.250
As  0.750  0.750  0.750
I  0.000  0.000  0.000
O  0.500  0.500  0.500

Output
- spin magnetization (μB/f.u.) = 0.00
- crystal system = cubic

(B)
A relaxed As2IO crystal. Source: Alexandria, functional GGA-PBE.

Cell: 7.800 7.800 7.800 Å, 140.78 140.78 56.66°
Element x y z (fractional)
As  0.375  0.174  0.299
As  0.826  0.125  0.201
As  0.875  0.076  0.701
As  0.924  0.625  0.799
I  0.250  0.750  0.500
I  0.500  0.500  0.000
O  0.000  0.000  0.000
O  0.750  0.250  0.500

Output
- spin magnetization (μB/f.u.) = 0.00
- crystal system = tetragonal

Stability order, top to bottom: (B), (A)

(A)
A relaxed AsIO2 crystal. Source: Alexandria, functional GGA-PBE.

Cell: 8.406 8.406 8.406 Å, 22.35 22.35 22.35°
Element x y z (fractional)
As  0.000  0.000  0.000
I  0.500  0.500  0.500
O  0.069  0.069  0.069
O  0.931  0.931  0.931

Output
- spin magnetization (μB/f.u.) = 0.00
- crystal system = trigonal

(B)
A relaxed AsIO2 crystal. Source: Alexandria, functional GGA-PBE.

Cell: 6.052 6.052 6.052 Å, 60.00 60.00 60.00°
Element x y z (fractional)
As  0.125  0.125  0.125
As  0.875  0.875  0.875
I  0.375  0.375  0.375
I  0.625  0.625  0.625
O  0.000  0.000  0.000
O  0.000  0.000  0.500
O  0.000  0.500  0.000
O  0.500  0.000  0.000

Output
- spin magnetization (μB/f.u.) = 1.00
- crystal system = cubic

Stability order, top to bottom: (B), (A)

(A)
A relaxed AsIO2 crystal. Source: Alexandria, functional GGA-PBE.

Cell: 4.328 4.328 4.328 Å, 60.00 60.00 60.00°
Element x y z (fractional)
As  0.000  0.000  0.000
I  0.500  0.500  0.500
O  0.250  0.250  0.250
O  0.750  0.750  0.750

Output
- spin magnetization (μB/f.u.) = 0.00
- crystal system = cubic

(B)
A relaxed AsIO2 crystal. Source: Alexandria, functional GGA-PBE.

Cell: 6.738 6.738 6.738 Å, 30.52 30.52 30.52°
Element x y z (fractional)
As  0.000  0.000  0.000
I  0.500  0.500  0.500
O  0.385  0.385  0.385
O  0.615  0.615  0.615

Output
- spin magnetization (μB/f.u.) = 0.00
- crystal system = trigonal

Stability order, top to bottom: (B), (A)

(A)
A relaxed As3IO crystal. Source: Alexandria, functional GGA-PBE.

Cell: 5.359 5.359 5.359 Å, 90.00 90.00 90.00°
Element x y z (fractional)
As  0.000  0.000  0.500
As  0.000  0.500  0.000
As  0.500  0.000  0.000
I  0.000  0.000  0.000
O  0.500  0.500  0.500

Output
- spin magnetization (μB/f.u.) = 0.00
- crystal system = cubic

(B)
A relaxed As3IO crystal. Source: Alexandria, functional GGA-PBE.

Cell: 4.611 4.611 4.611 Å, 90.00 90.00 90.00°
Element x y z (fractional)
As  0.000  0.000  0.500
As  0.000  0.500  0.000
As  0.500  0.000  0.000
I  0.500  0.500  0.500
O  0.000  0.000  0.000

Output
- spin magnetization (μB/f.u.) = 0.00
- crystal system = cubic

Stability order, top to bottom: (B), (A)

(A)
A relaxed AsOsIO2 crystal. Source: Alexandria, functional GGA-PBE.

Cell: 3.802 3.802 8.384 Å, 90.00 90.00 90.00°
Element x y z (fractional)
As  0.000  0.000  0.000
Os  0.500  0.500  0.500
I  0.500  0.500  0.000
O  0.000  0.500  0.500
O  0.500  0.000  0.500

Output
- spin magnetization (μB/f.u.) = 0.00
- crystal system = tetragonal

(B)
A relaxed AsOsIO2 crystal. Source: Alexandria, functional GGA-PBE.

Cell: 3.773 3.773 6.800 Å, 90.00 90.00 90.00°
Element x y z (fractional)
As  0.000  0.000  0.000
Os  0.500  0.500  0.500
I  0.000  0.000  0.500
O  0.000  0.500  0.000
O  0.500  0.000  0.000

Output
- spin magnetization (μB/f.u.) = 1.78
- crystal system = tetragonal

Stability order, top to bottom: (A), (B)

(A)
A relaxed AsP2IO crystal. Source: Alexandria, functional GGA-PBE.

Cell: 5.163 5.163 3.905 Å, 90.00 90.00 90.00°
Element x y z (fractional)
As  0.000  0.000  0.000
P  0.000  0.500  0.500
P  0.500  0.000  0.500
I  0.500  0.500  0.500
O  0.500  0.500  0.000

Output
- spin magnetization (μB/f.u.) = 0.00
- crystal system = tetragonal

(B)
A relaxed AsP2IO crystal. Source: Alexandria, functional GGA-PBE.

Cell: 4.942 4.942 3.813 Å, 90.00 90.00 90.00°
Element x y z (fractional)
As  0.000  0.000  0.000
P  0.000  0.500  0.000
P  0.500  0.000  0.000
I  0.500  0.500  0.500
O  0.000  0.000  0.500

Output
- spin magnetization (μB/f.u.) = 0.00
- crystal system = tetragonal

Stability order, top to bottom: (B), (A)

(A)
A relaxed AsPbI2O crystal. Source: Alexandria, functional GGA-PBE.

Cell: 6.323 6.323 4.242 Å, 90.00 90.00 90.00°
Element x y z (fractional)
As  0.000  0.000  0.000
Pb  0.500  0.500  0.500
I  0.000  0.500  0.500
I  0.500  0.000  0.500
O  0.500  0.500  0.000

Output
- spin magnetization (μB/f.u.) = 1.92
- crystal system = tetragonal

(B)
A relaxed AsPbI2O crystal. Source: Alexandria, functional GGA-PBE.

Cell: 6.052 6.052 3.864 Å, 90.00 90.00 90.00°
Element x y z (fractional)
As  0.000  0.000  0.000
Pb  0.500  0.500  0.500
I  0.000  0.500  0.000
I  0.500  0.000  0.000
O  0.000  0.000  0.500

Output
- spin magnetization (μB/f.u.) = 0.00
- crystal system = tetragonal

Stability order, top to bottom: (B), (A)

(A)
A relaxed AsPtI2O crystal. Source: Alexandria, functional GGA-PBE.

Cell: 5.655 5.655 3.806 Å, 90.00 90.00 90.00°
Element x y z (fractional)
As  0.000  0.000  0.000
Pt  0.500  0.500  0.500
I  0.000  0.500  0.500
I  0.500  0.000  0.500
O  0.500  0.500  0.000

Output
- spin magnetization (μB/f.u.) = 0.38
- crystal system = tetragonal

(B)
A relaxed AsPtI2O crystal. Source: Alexandria, functional GGA-PBE.

Cell: 5.409 5.409 3.917 Å, 90.00 90.00 90.00°
Element x y z (fractional)
As  0.000  0.000  0.000
Pt  0.500  0.500  0.000
I  0.000  0.500  0.500
I  0.500  0.000  0.500
O  0.000  0.000  0.500

Output
- spin magnetization (μB/f.u.) = 0.00
- crystal system = tetragonal

Stability order, top to bottom: (A), (B)